No. 1
First-principles (GGA-PBE) data for a relaxed structure of Ag2POs, as listed in Alexandria.

CIF file:
```
data_Ag2POs
_cell_length_a 3.9503
_cell_length_b 3.1235
_cell_length_c 10.6869
_cell_angle_alpha 90.00
_cell_angle_beta 90.00
_cell_angle_gamma 90.00
_symmetry_space_group_name_H-M 'A m m 2'
_symmetry_Int_Tables_number 38
loop_
_symmetry_equiv_pos_as_xyz
'x,y,z'
'-x,-y,z'
'-x,y,z'
'x,-y,z'
'x,y+1/2,z+1/2'
'-x,-y+1/2,z+1/2'
'-x,y+1/2,z+1/2'
'x,-y+1/2,z+1/2'
loop_
_atom_site_label
_atom_site_type_symbol
_atom_site_fract_x
_atom_site_fract_y
_atom_site_fract_z
Ag1 Ag 0.0000 0.0000 0.0000
Ag2 Ag 0.5000 0.0000 0.3706
P1 P 0.0000 0.0000 0.7380
Os1 Os 0.5000 0.0000 0.6405
```

Computed properties:
- formation energy from the elements (meV/atom) = 362


No. 2
First-principles (GGA-PBE) data for a relaxed structure of Dy6As5P, as listed in Alexandria.

CIF file:
```
data_Dy6As5P
_cell_length_a 7.1055
_cell_length_b 12.3014
_cell_length_c 7.1011
_cell_angle_alpha 90.00
_cell_angle_beta 109.48
_cell_angle_gamma 90.00
_symmetry_space_group_name_H-M 'C 1 2/m 1'
_symmetry_Int_Tables_number 12
loop_
_symmetry_equiv_pos_as_xyz
'x,y,z'
'-x,-y,-z'
'-x,y,-z'
'x,-y,z'
'x+1/2,y+1/2,z'
'-x+1/2,-y+1/2,-z'
'-x+1/2,y+1/2,-z'
'x+1/2,-y+1/2,z'
loop_
_atom_site_label
_atom_site_type_symbol
_atom_site_fract_x
_atom_site_fract_y
_atom_site_fract_z
Dy1 Dy 0.2462 0.0000 0.2521
Dy2 Dy 0.2469 0.1644 0.7475
As1 As 0.0000 0.1678 0.0000
As2 As 0.0000 0.3334 0.5000
As3 As 0.0000 0.5000 0.0000
P1 P 0.0000 0.0000 0.5000
```

Computed properties:
- formation energy from the elements (meV/atom) = -1548


No. 3
First-principles (GGA-PBE) data for a relaxed structure of InP2OsCl, as listed in Alexandria.

CIF file:
```
data_InP2OsCl
_cell_length_a 4.5772
_cell_length_b 4.5772
_cell_length_c 5.5429
_cell_angle_alpha 90.00
_cell_angle_beta 90.00
_cell_angle_gamma 90.00
_symmetry_space_group_name_H-M 'P 4/m m m'
_symmetry_Int_Tables_number 123
_symmetry_space_group_name_Hall '-P 4 2'
loop_
_atom_site_label
_atom_site_type_symbol
_atom_site_fract_x
_atom_site_fract_y
_atom_site_fract_z
In1 In 0.0000 0.0000 0.0000
P1 P 0.0000 0.5000 0.5000
Os1 Os 0.5000 0.5000 0.5000
Cl1 Cl 0.5000 0.5000 0.0000
```

Computed properties:
- relative energy among the computed polymorphs (eV/atom) = 0.000
- raw formation energy (eV/atom) = 0.27


No. 4
First-principles (GGA-PBE) data for a relaxed structure of NdGaHRh, as listed in Alexandria.

CIF file:
```
data_NdGaHRh
_cell_length_a 4.1961
_cell_length_b 4.1961
_cell_length_c 7.5119
_cell_angle_alpha 90.00
_cell_angle_beta 90.00
_cell_angle_gamma 90.00
_symmetry_space_group_name_H-M 'P 4/n m m'
_symmetry_Int_Tables_number 129
loop_
_symmetry_equiv_pos_as_xyz
'x,y,z'
'-x,-y,-z'
'-y+1/2,x,z'
'y+1/2,-x,-z'
'-x+1/2,-y+1/2,z'
'x+1/2,y+1/2,-z'
'y,-x+1/2,z'
'-y,x+1/2,-z'
'x+1/2,-y,-z'
'-x+1/2,y,z'
'-y,-x,-z'
'y,x,z'
'-x,y+1/2,-z'
'x,-y+1/2,z'
'y+1/2,x+1/2,-z'
'-y+1/2,-x+1/2,z'
loop_
_atom_site_label
_atom_site_type_symbol
_atom_site_fract_x
_atom_site_fract_y
_atom_site_fract_z
Nd1 Nd 0.2500 0.2500 0.1629
Ga1 Ga 0.2500 0.2500 0.6799
H1 H 0.2500 0.7500 0.0000
Rh1 Rh 0.2500 0.7500 0.5000
```

Computed properties:
- DFT total energy (eV/atom) = -5.355


No. 5
First-principles (GGA-PBE) data for a relaxed structure of LiMgZr2Pt4, as listed in Alexandria.

CIF file:
```
data_LiMgZr2Pt4
_cell_length_a 4.5912
_cell_length_b 4.5912
_cell_length_c 22.5694
_cell_angle_alpha 90.00
_cell_angle_beta 90.00
_cell_angle_gamma 120.00
_symmetry_space_group_name_H-M 'R -3 m'
_symmetry_Int_Tables_number 166
_symmetry_space_group_name_Hall '-R 3 2"'
loop_
_atom_site_label
_atom_site_type_symbol
_atom_site_fract_x
_atom_site_fract_y
_atom_site_fract_z
Li1 Li 0.0000 0.0000 0.0000
Mg1 Mg 0.0000 0.0000 0.5000
Zr1 Zr 0.0000 0.0000 0.2517
Pt1 Pt 0.0000 0.0000 0.1251
Pt2 Pt 0.0000 0.0000 0.3749
```

Computed properties:
- formation energy from the elements (meV/atom) = -926


No. 6
First-principles (GGA-PBE) data for a relaxed structure of DyTaCo2, as listed in Alexandria.

CIF file:
```
data_DyTaCo2
_cell_length_a 4.1580
_cell_length_b 4.1580
_cell_length_c 14.2086
_cell_angle_alpha 90.00
_cell_angle_beta 90.00
_cell_angle_gamma 120.00
_symmetry_space_group_name_H-M 'R -3 m'
_symmetry_Int_Tables_number 166
_symmetry_space_group_name_Hall '-R 3 2"'
loop_
_atom_site_label
_atom_site_type_symbol
_atom_site_fract_x
_atom_site_fract_y
_atom_site_fract_z
Dy1 Dy 0.0000 0.0000 0.0000
Ta1 Ta 0.0000 0.0000 0.5000
Co1 Co 0.0000 0.0000 0.2085
```

Computed properties:
- formation energy from the elements (meV/atom) = -94
- relative energy among the computed polymorphs (eV/atom) = 0.068


No. 7
First-principles (GGA-PBE) data for a relaxed structure of ScHgN2F, as listed in Alexandria.

CIF file:
```
data_ScHgN2F
_cell_length_a 4.3247
_cell_length_b 4.3247
_cell_length_c 4.0053
_cell_angle_alpha 90.00
_cell_angle_beta 90.00
_cell_angle_gamma 90.00
_symmetry_space_group_name_H-M 'P 4/m m m'
_symmetry_Int_Tables_number 123
_symmetry_space_group_name_Hall '-P 4 2'
loop_
_atom_site_label
_atom_site_type_symbol
_atom_site_fract_x
_atom_site_fract_y
_atom_site_fract_z
Sc1 Sc 0.0000 0.0000 0.0000
Hg1 Hg 0.5000 0.5000 0.5000
N1 N 0.0000 0.5000 0.0000
F1 F 0.0000 0.0000 0.5000
```

Computed properties:
- relative energy among the computed polymorphs (eV/atom) = 0.000
- raw formation energy (eV/atom) = -0.22


No. 8
First-principles (GGA-PBE) data for a relaxed structure of CaMgBe, as listed in Alexandria.

CIF file:
```
data_CaMgBe
_cell_length_a 5.0157
_cell_length_b 4.0203
_cell_length_c 7.2207
_cell_angle_alpha 90.00
_cell_angle_beta 98.97
_cell_angle_gamma 90.00
_symmetry_space_group_name_H-M 'P 1 21/m 1'
_symmetry_Int_Tables_number 11
loop_
_symmetry_equiv_pos_as_xyz
'x,y,z'
'-x,-y,-z'
'-x,y+1/2,-z'
'x,-y+1/2,z'
loop_
_atom_site_label
_atom_site_type_symbol
_atom_site_fract_x
_atom_site_fract_y
_atom_site_fract_z
Ca1 Ca 0.2189 0.2500 0.3375
Mg1 Mg 0.3450 0.2500 0.8590
Be1 Be 0.1062 0.7500 0.0237
```

Computed properties:
- formation energy from the elements (meV/atom) = 117
- relative energy among the computed polymorphs (eV/atom) = 0.005


No. 9
First-principles (GGA-PBE) data for a relaxed structure of MnAsOs2, as listed in Alexandria.

CIF file:
```
data_MnAsOs2
_cell_length_a 3.7667
_cell_length_b 3.7667
_cell_length_c 7.9377
_cell_angle_alpha 90.00
_cell_angle_beta 90.00
_cell_angle_gamma 90.00
_symmetry_space_group_name_H-M 'I -4 m 2'
_symmetry_Int_Tables_number 119
_symmetry_space_group_name_Hall 'I -4 -2'
loop_
_atom_site_label
_atom_site_type_symbol
_atom_site_fract_x
_atom_site_fract_y
_atom_site_fract_z
Mn1 Mn 0.0000 0.0000 0.0000
As1 As 0.0000 0.5000 0.2500
Os1 Os 0.0000 0.0000 0.5000
Os2 Os 0.0000 0.5000 0.7500
```

Computed properties:
- formation energy from the elements (meV/atom) = 369


No. 10
First-principles (GGA-PBE) data for a relaxed structure of SrZnRe2, as listed in Alexandria.

CIF file:
```
data_SrZnRe2
_cell_length_a 5.5981
_cell_length_b 10.1431
_cell_length_c 2.7112
_cell_angle_alpha 90.00
_cell_angle_beta 109.77
_cell_angle_gamma 90.00
_symmetry_space_group_name_H-M 'C 1 2/m 1'
_symmetry_Int_Tables_number 12
loop_
_symmetry_equiv_pos_as_xyz
'x,y,z'
'-x,-y,-z'
'-x,y,-z'
'x,-y,z'
'x+1/2,y+1/2,z'
'-x+1/2,-y+1/2,-z'
'-x+1/2,y+1/2,-z'
'x+1/2,-y+1/2,z'
loop_
_atom_site_label
_atom_site_type_symbol
_atom_site_fract_x
_atom_site_fract_y
_atom_site_fract_z
Sr1 Sr 0.0000 0.0000 0.0000
Zn1 Zn 0.0000 0.5000 0.0000
Re1 Re 0.2500 0.2500 0.5000
```

Computed properties:
- formation energy from the elements (meV/atom) = 924


No. 11
First-principles (GGA-PBE) data for a relaxed structure of Cs3BeIn, as listed in Alexandria.

CIF file:
```
data_Cs3BeIn
_cell_length_a 6.9375
_cell_length_b 6.9375
_cell_length_c 6.9375
_cell_angle_alpha 90.00
_cell_angle_beta 90.00
_cell_angle_gamma 90.00
_symmetry_space_group_name_H-M 'P m -3 m'
_symmetry_Int_Tables_number 221
_symmetry_space_group_name_Hall '-P 4 2 3'
loop_
_atom_site_label
_atom_site_type_symbol
_atom_site_fract_x
_atom_site_fract_y
_atom_site_fract_z
Cs1 Cs 0.0000 0.0000 0.5000
Be1 Be 0.0000 0.0000 0.0000
In1 In 0.5000 0.5000 0.5000
```

Computed properties:
- formation energy from the elements (meV/atom) = 661
- relative energy among the computed polymorphs (eV/atom) = 0.000


No. 12
First-principles (GGA-PBE) data for a relaxed structure of Y2Th3, as listed in Alexandria.

CIF file:
```
data_Y2Th3
_cell_length_a 6.6270
_cell_length_b 22.5392
_cell_length_c 5.5919
_cell_angle_alpha 90.00
_cell_angle_beta 120.96
_cell_angle_gamma 90.00
_symmetry_space_group_name_H-M 'C 1 2/m 1'
_symmetry_Int_Tables_number 12
loop_
_symmetry_equiv_pos_as_xyz
'x,y,z'
'-x,-y,-z'
'-x,y,-z'
'x,-y,z'
'x+1/2,y+1/2,z'
'-x+1/2,-y+1/2,-z'
'-x+1/2,y+1/2,-z'
'x+1/2,-y+1/2,z'
loop_
_atom_site_label
_atom_site_type_symbol
_atom_site_fract_x
_atom_site_fract_y
_atom_site_fract_z
Y1 Y 0.0000 0.1280 0.0000
Y2 Y 0.2500 0.2500 0.0000
Th1 Th 0.1795 0.3877 0.3462
Th2 Th 0.2132 0.5000 0.8938
```

Computed properties:
- formation energy from the elements (meV/atom) = 481
- relative energy among the computed polymorphs (eV/atom) = 0.440


No. 13
First-principles (GGA-PBE) data for a relaxed structure of Pm4Nd5Sm4, as listed in Alexandria.

CIF file:
```
data_Pm4Nd5Sm4
_cell_length_a 13.2179
_cell_length_b 13.2179
_cell_length_c 5.1453
_cell_angle_alpha 90.00
_cell_angle_beta 90.00
_cell_angle_gamma 90.00
_symmetry_space_group_name_H-M 'I 4/m'
_symmetry_Int_Tables_number 87
_symmetry_space_group_name_Hall '-I 4'
loop_
_atom_site_label
_atom_site_type_symbol
_atom_site_fract_x
_atom_site_fract_y
_atom_site_fract_z
Pm1 Pm 0.0767 0.6155 0.0000
Nd1 Nd 0.0000 0.0000 0.0000
Nd2 Nd 0.0388 0.8072 0.5000
Sm1 Sm 0.1541 0.2314 0.0000
```

Computed properties:
- formation energy from the elements (meV/atom) = 12


| no. | volume (Å³/f.u.) |
| --- | --- |
| 1 | 65.9 |
| 2 | 292.6 |
| 3 | 116.1 |
| 4 | 66.1 |
| 5 | 137.3 |
| 6 | 70.9 |
| 7 | 74.9 |
| 8 | 71.9 |
| 9 | 56.3 |
| 10 | 72.4 |
| 11 | 333.9 |
| 12 | 179.1 |
| 13 | 449.5 |